Entry 1:
Entry from the Open Quantum Materials Database: an optimized crystal structure of HgBAsO (PBE).

Unit cell a=3.5346 b=3.5346 c=10.5814 alpha=90.00 beta=90.00 gamma=90.00
Space group P4/nmm (No. 129, origin choice 2)
One atom of each set of equivalent atoms:
1 Hg 0.2500 0.7500 0.0000
2 B 0.2500 0.2500 0.4478
3 As 0.2500 0.2500 0.2562
4 O 0.2500 0.7500 0.5000


Entry 2:
Entry from the Open Quantum Materials Database: an optimized crystal structure of HgBAsO (PBE).

Unit cell a=2.5729 b=7.2387 c=6.4358 alpha=90.00 beta=90.00 gamma=90.00
Space group Pmc2_1 (No. 26)
One atom of each set of equivalent atoms:
1 Hg 0.0000 0.1183 0.0000
2 B 0.5000 0.3327 0.4365
3 As 0.5000 0.4180 0.7585
4 O 0.0000 0.2418 0.4061


Number 1: calculated density 7595 kg/m³, E_tot -15.08 eV/f.u., calculated volume 16.525 Å³ per atom. Number 2: calculated density 8377 kg/m³, E_tot -18.70 eV/f.u., calculated volume 14.983 Å³ per atom.